1.
Here is crystalline Er2AsP4 at its relaxed geometry from OQMD. Energies are from PBE.

Lattice parameters (Å, degrees): 6.9429 6.9429 3.6496 90.00 90.00 108.05
Closest atoms and distances in Å follow each position.
Atoms (fractional coordinates):
Er 0.0000 0.5000 0.0000  6 P 2.74-2.82
Er 0.5000 0.0000 0.0000  6 P 2.74-2.82
As 0.0000 0.0000 0.5000  6 P 2.57-2.77
P 0.2223 0.2223 0.0000  2 As 2.57, 2 Er 2.82
P 0.2469 0.7531 0.5000  4 Er 2.74, 1 As 2.77
P 0.7531 0.2469 0.5000  4 Er 2.74, 1 As 2.77
P 0.7777 0.7777 0.0000  2 As 2.57, 2 Er 2.82

**Calculated volume**: 167 Å³/cell
**DFT total energy**: -38.2 eV for the cell shown



2.
Here is crystalline BeTlIr at its relaxed geometry from OQMD. Energies are from PBE.

Lattice parameters (Å, degrees): 4.0901 4.0901 4.0901 60.00 60.00 60.00
Closest atoms and distances in Å follow each position.
Atoms (fractional coordinates):
Be 0.0000 0.0000 0.0000  4 Ir 2.50, 4 Tl 2.50
Tl 0.2500 0.2500 0.2500  4 Be 2.50
Ir 0.7500 0.7500 0.7500  4 Be 2.50

**Calculated volume**: 48 Å³/cell
**DFT total energy**: -14.1 eV for the cell shown
**Energy above the lowest structure with this stoichiometry**: 0.000 eV per atom



3.
Here is crystalline PaPt2O4 at its relaxed geometry from OQMD. Energies are from PBE.

Lattice parameters (Å, degrees): 6.6446 6.6446 6.6446 60.00 60.00 60.00
Closest atoms and distances in Å follow each position.
Atoms (fractional coordinates):
Pa 0.1250 0.1250 0.1250  4 O 2.19
Pa 0.8750 0.8750 0.8750  4 O 2.19
Pt 0.0000 0.5000 0.5000  6 O 2.26
Pt 0.5000 0.0000 0.5000  6 O 2.26
Pt 0.5000 0.5000 0.0000  6 O 2.26
Pt 0.5000 0.5000 0.5000  6 O 2.26
O 0.2594 0.2594 0.2594  1 Pa 2.19, 3 Pt 2.26
O 0.2594 0.2594 0.7217  1 Pa 2.19, 3 Pt 2.26
O 0.2594 0.7217 0.2594  1 Pa 2.19, 3 Pt 2.26
O 0.2783 0.7406 0.7406  1 Pa 2.19, 3 Pt 2.26
O 0.7217 0.2594 0.2594  1 Pa 2.19, 3 Pt 2.26
O 0.7406 0.2783 0.7406  1 Pa 2.19, 3 Pt 2.26
O 0.7406 0.7406 0.2783  1 Pa 2.19, 3 Pt 2.26
O 0.7406 0.7406 0.7406  1 Pa 2.19, 3 Pt 2.26

**Calculated volume**: 207 Å³/cell
**DFT total energy**: -91.2 eV for the cell shown



4.
Here is crystalline TmZr3 at its relaxed geometry from OQMD. Energies are from PBE.

Lattice parameters (Å, degrees): 6.5979 6.5979 5.2049 90.00 90.00 120.00
Closest atoms and distances in Å follow each position.
Atoms (fractional coordinates):
Tm 0.3333 0.6667 0.2500  12 Zr 3.25-3.30
Tm 0.6667 0.3333 0.7500  12 Zr 3.25-3.30
Zr 0.1629 0.3258 0.7500  8 Zr 3.20-3.37, 4 Tm 3.25-3.30
Zr 0.1629 0.8371 0.7500  8 Zr 3.20-3.37, 4 Tm 3.25-3.30
Zr 0.3258 0.1629 0.2500  8 Zr 3.20-3.37, 4 Tm 3.25-3.30
Zr 0.6742 0.8371 0.7500  8 Zr 3.20-3.37, 4 Tm 3.25-3.30
Zr 0.8371 0.1629 0.2500  8 Zr 3.20-3.37, 4 Tm 3.25-3.30
Zr 0.8371 0.6742 0.2500  8 Zr 3.20-3.37, 4 Tm 3.25-3.30

**Calculated volume**: 196 Å³/cell
**DFT total energy**: -60.1 eV for the cell shown
**Energy above the lowest structure with this stoichiometry**: 0.000 eV per atom
**DFT formation energy**: 0.02 eV per atom



5.
Here is crystalline LuGeTeAuSe2 at its relaxed geometry from OQMD. Energies are from PBE.

Lattice parameters (Å, degrees): 7.1816 7.1816 11.0656 90.00 90.00 147.93
Closest atoms and distances in Å follow each position.
Atoms (fractional coordinates):
Lu 0.0000 0.0000 0.0000  4 Se 2.85, 2 Te 3.16
Lu 0.0000 0.0000 0.5000  4 Se 2.85, 2 Te 3.16
Ge 0.1827 0.8173 0.7500  2 Au 2.89, 4 Se 2.98
Ge 0.8173 0.1827 0.2500  2 Au 2.89, 4 Se 2.98
Te 0.1110 0.8890 0.2500  2 Au 2.78
Te 0.8890 0.1110 0.7500  2 Au 2.78
Au 0.4698 0.5302 0.2500  2 Se 2.64, 2 Te 2.78, 2 Ge 2.89
Au 0.5302 0.4698 0.7500  2 Se 2.64, 2 Te 2.78, 2 Ge 2.89
Se 0.3585 0.6415 0.0556  1 Au 2.64, 2 Lu 2.85
Se 0.3585 0.6415 0.4444  1 Au 2.64, 2 Lu 2.85
Se 0.6415 0.3585 0.5556  1 Au 2.64, 2 Lu 2.85
Se 0.6415 0.3585 0.9444  1 Au 2.64, 2 Lu 2.85

**Calculated volume**: 303 Å³/cell
**DFT total energy**: -53.0 eV for the cell shown



6.
Here is crystalline ScNbFe4 at its relaxed geometry from OQMD. Energies are from PBE.

Lattice parameters (Å, degrees): 4.8556 4.8556 4.8556 60.00 60.00 60.00
Closest atoms and distances in Å follow each position.
Atoms (fractional coordinates):
Sc 0.0000 0.0000 0.0000  12 Fe 2.85, 4 Nb 2.97
Nb 0.7500 0.7500 0.7500  12 Fe 2.85, 4 Sc 2.97
Fe 0.3752 0.3752 0.3752  6 Fe 2.42-2.43
Fe 0.3752 0.3752 0.8745  6 Fe 2.42-2.43
Fe 0.3752 0.8745 0.3752  6 Fe 2.42-2.43
Fe 0.8745 0.3752 0.3752  6 Fe 2.42-2.43

**Calculated volume**: 81 Å³/cell
**DFT total energy**: -50.9 eV for the cell shown
**DFT formation energy**: -0.21 eV per atom



7.
Here is crystalline NaTbMgSe3 at its relaxed geometry from OQMD. Energies are from PBE.

Lattice parameters (Å, degrees): 14.7567 4.1765 11.5126 90.00 90.00 90.00
Closest atoms and distances in Å follow each position.
Atoms (fractional coordinates):
Na 0.2173 0.2500 0.1974  5 Se 2.97-3.06
Na 0.2827 0.7500 0.6974  5 Se 2.97-3.06
Na 0.7173 0.2500 0.3026  5 Se 2.97-3.06
Na 0.7827 0.7500 0.8026  5 Se 2.97-3.06
Tb 0.0335 0.7500 0.8540  6 Se 2.81-3.07
Tb 0.4665 0.2500 0.3540  6 Se 2.81-3.07
Tb 0.5335 0.7500 0.6460  6 Se 2.81-3.07
Tb 0.9665 0.2500 0.1460  6 Se 2.81-3.07
Mg 0.0318 0.2500 0.5983  4 Se 2.55-2.61
Mg 0.4682 0.7500 0.0983  4 Se 2.55-2.61
Mg 0.5318 0.2500 0.9017  4 Se 2.55-2.61
Mg 0.9682 0.7500 0.4017  4 Se 2.55-2.61
Se 0.0697 0.2500 0.3771  3 Mg 2.59-2.61
Se 0.0940 0.7500 0.0854  3 Tb 2.81-2.90, 2 Na 3.06
Se 0.1487 0.2500 0.7616  1 Mg 2.55
Se 0.3513 0.7500 0.2616  1 Mg 2.55
Se 0.4060 0.2500 0.5854  3 Tb 2.81-2.90, 2 Na 3.06
Se 0.4303 0.7500 0.8771  3 Mg 2.59-2.61
Se 0.5697 0.2500 0.1229  3 Mg 2.59-2.61
Se 0.5940 0.7500 0.4146  3 Tb 2.81-2.90, 2 Na 3.06
Se 0.6487 0.2500 0.7384  1 Mg 2.55
Se 0.8513 0.7500 0.2384  1 Mg 2.55
Se 0.9060 0.2500 0.9146  3 Tb 2.81-2.90, 2 Na 3.06
Se 0.9303 0.7500 0.6229  3 Mg 2.59-2.61

**Calculated volume**: 710 Å³/cell
**DFT total energy**: -107.5 eV for the cell shown
**Energy above the lowest structure with this stoichiometry**: 0.000 eV per atom



8.
Here is crystalline ErTm2Co2B2N3 at its relaxed geometry from OQMD. Energies are from PBE.

Lattice parameters (Å, degrees): 10.1497 10.1497 10.1497 160.58 160.58 27.59
Closest atoms and distances in Å follow each position.
Atoms (fractional coordinates):
Er 0.0000 0.0000 0.0000  6 N 2.30-2.42
Tm 0.3767 0.3767 0.0000  5 N 2.42-2.43
Tm 0.6233 0.6233 0.0000  5 N 2.42-2.43
Co 0.2500 0.7500 0.5000  4 B 2.05
Co 0.7500 0.2500 0.5000  4 B 2.05
B 0.1930 0.1930 0.0000  1 N 1.50
B 0.8070 0.8070 0.0000  1 N 1.50
N 0.1167 0.1167 0.0000  1 B 1.50
N 0.5000 0.5000 0.0000  4 Er 2.42, 2 Tm 2.43
N 0.8833 0.8833 0.0000  1 B 1.50

**Calculated volume**: 116 Å³/cell
**DFT total energy**: -78.7 eV for the cell shown



9.
Here is crystalline PaSiPt at its relaxed geometry from OQMD. Energies are from PBE.

Lattice parameters (Å, degrees): 4.6571 4.6571 4.6571 60.00 60.00 60.00
Closest atoms and distances in Å follow each position.
Atoms (fractional coordinates):
Pa 0.0000 0.0000 0.0000  4 Pt 2.85, 4 Si 2.85
Si 0.2500 0.2500 0.2500  4 Pa 2.85
Pt 0.7500 0.7500 0.7500  4 Pa 2.85

**Calculated volume**: 71 Å³/cell
**DFT total energy**: -21.4 eV for the cell shown



10.
Here is crystalline RbLuMgS3 at its relaxed geometry from OQMD. Energies are from PBE.

Lattice parameters (Å, degrees): 8.8746 4.0529 9.8305 90.00 109.65 90.00
Closest atoms and distances in Å follow each position.
Atoms (fractional coordinates):
Rb 0.2191 0.2500 0.2358  5 S 3.35-3.52
Rb 0.7809 0.7500 0.7642  5 S 3.35-3.52
Lu 0.3328 0.7500 0.8699  5 S 2.62-2.73
Lu 0.6672 0.2500 0.1301  5 S 2.62-2.73
Mg 0.0860 0.2500 0.6133  4 S 2.39-2.50
Mg 0.9140 0.7500 0.3867  4 S 2.39-2.50
S 0.1257 0.2500 0.8656  1 Mg 2.39
S 0.1988 0.7500 0.5508  3 Mg 2.43-2.50
S 0.4747 0.7500 0.1504  3 Lu 2.62-2.70
S 0.5253 0.2500 0.8496  3 Lu 2.62-2.70
S 0.8012 0.2500 0.4492  3 Mg 2.43-2.50
S 0.8743 0.7500 0.1344  1 Mg 2.39

**Calculated volume**: 333 Å³/cell
**DFT total energy**: -58.8 eV for the cell shown



11.
Here is crystalline Tm2Zn2O5 at its relaxed geometry from OQMD. Energies are from PBE.

Lattice parameters (Å, degrees): 3.9086 3.9086 8.4799 90.00 90.00 90.00
Closest atoms and distances in Å follow each position.
Atoms (fractional coordinates):
Tm 0.0000 0.0000 0.2444  5 O 2.11-2.17
Tm 0.0000 0.0000 0.7556  5 O 2.11-2.17
Zn 0.5000 0.5000 0.0000  8 O 2.34
Zn 0.5000 0.5000 0.5000  4 O 2.76
O 0.0000 0.0000 0.5000  2 Tm 2.17
O 0.0000 0.5000 0.1515  2 Tm 2.11, 2 Zn 2.34
O 0.0000 0.5000 0.8485  2 Tm 2.11, 2 Zn 2.34
O 0.5000 0.0000 0.1515  2 Tm 2.11, 2 Zn 2.34
O 0.5000 0.0000 0.8485  2 Tm 2.11, 2 Zn 2.34

**Calculated volume**: 130 Å³/cell
**DFT total energy**: -53.4 eV for the cell shown
**Energy above the lowest structure with this stoichiometry**: 0.242 eV per atom



12.
Here is crystalline ZnFeTcNi at its relaxed geometry from OQMD. Energies are from PBE.

Lattice parameters (Å, degrees): 4.1477 4.1477 4.1477 60.00 60.00 60.00
Closest atoms and distances in Å follow each position.
Atoms (fractional coordinates):
Zn 0.0000 0.0000 0.0000  4 Tc 2.54, 4 Ni 2.54
Fe 0.5000 0.5000 0.5000  4 Tc 2.54, 4 Ni 2.54
Tc 0.7500 0.7500 0.7500  4 Fe 2.54, 4 Zn 2.54
Ni 0.2500 0.2500 0.2500  4 Fe 2.54, 4 Zn 2.54

**Calculated volume**: 50 Å³/cell
**DFT total energy**: -25.1 eV for the cell shown
**Energy above the lowest structure with this stoichiometry**: 0.000 eV per atom
**DFT formation energy**: 0.09 eV per atom